PrEuGa: optimized geometry, PBE.

Computed properties:
SG: I4mm, No. 107
Energy above the most stable polymorph in this dataset (meV/atom): 0
Fermi-level density of states (states/eV/f.u.): 3.11
Formation energy (meV per atom): -316.8

a = 3.778 Å, b = 3.778 Å, c = 7.019 Å
α = 105.61°, β = 105.61°, γ = 90.00°
Each line ends with the local moment (μB).
Positions (direct):
1 Ga 0.329 0.329 0.659  0.02
2 Pr 0.699 0.699 0.398  -0.05
3 Eu 0.972 0.972 0.943  -6.88

***

PrEuGaPt: optimized geometry, PBE.

Computed properties:
SG: F-43m, No. 216
Fermi-level density of states (states/eV/f.u.): 6.99
Formation energy (meV per atom): -680.9

a = 5.194 Å, b = 5.194 Å, c = 5.194 Å
α = 60.00°, β = 60.00°, γ = 60.00°
Each line ends with the local moment (μB).
Positions (direct):
1 Eu 0.500 0.500 0.500  6.77
2 Pr 0.000 0.000 0.000  0.01
3 Pt 0.750 0.750 0.750  -0.02
4 Ga 0.250 0.250 0.250  0.00

***

PrEuGaRu: optimized geometry, PBE.

Computed properties:
SG: F-43m, No. 216
Fermi-level density of states (states/eV/f.u.): 4.86
Formation energy (meV per atom): -156.7

a = 5.108 Å, b = 5.108 Å, c = 5.108 Å
α = 60.00°, β = 60.00°, γ = 60.00°
Each line ends with the local moment (μB).
Positions (direct):
1 Pr 0.000 0.000 0.000  0.01
2 Eu 0.500 0.500 0.500  6.73
3 Ga 0.750 0.750 0.750  0.00
4 Ru 0.250 0.250 0.250  -0.29

***

PrEuGaSi: optimized geometry, PBE.

Computed properties:
ΔE_f (raw) (kJ per mole of atoms): -41.1
SG: F-43m, No. 216
Fermi-level density of states (states/eV/f.u.): 2.67

a = 5.216 Å, b = 5.216 Å, c = 5.216 Å
α = 60.00°, β = 60.00°, γ = 60.00°
Each line ends with the local moment (μB).
Positions (direct):
1 Pr 0.750 0.750 0.750  0.05
2 Ga 0.000 0.000 0.000  0.00
3 Si 0.500 0.500 0.500  -0.03
4 Eu 0.250 0.250 0.250  6.78